1.
Compound: HoReNO
Source: OQMD via LeMat-Bulk
Functional: PBE
Structure: relaxed

Unit cell a=3.4086 b=3.4086 c=4.2719 alpha=90.00 beta=90.00 gamma=90.00
Sites, in units of the cell vectors:
Ho  0.0000  0.0000  0.0000
Re  0.5000  0.5000  0.5000
N  0.5000  0.5000  0.0000
O  0.0000  0.0000  0.5000

SG: P4/mmm
Distance to the lowest polymorph of the same formula in eV per atom: 0.5795

=====

2.
Compound: HoReNO
Source: OQMD via LeMat-Bulk
Functional: PBE
Structure: relaxed

Unit cell a=4.8294 b=4.8294 c=4.2646 alpha=90.00 beta=90.00 gamma=90.00
Sites, in units of the cell vectors:
Ho  0.2500  0.7500  0.0000
Ho  0.7500  0.2500  0.0000
Re  0.2500  0.2500  0.4991
Re  0.7500  0.7500  0.5009
N  0.2500  0.2500  0.9988
N  0.7500  0.7500  0.0012
O  0.2500  0.7500  0.5000
O  0.7500  0.2500  0.5000

SG: P4/nmm
Distance to the lowest polymorph of the same formula in eV per atom: 0.5789

=====

3.
Compound: HoReNO
Source: OQMD via LeMat-Bulk
Functional: PBE
Structure: relaxed

Unit cell a=3.2317 b=5.6031 c=6.2367 alpha=90.00 beta=90.00 gamma=90.00
Sites, in units of the cell vectors:
Ho  0.0000  0.1713  0.0000
Ho  0.0000  0.8287  0.5000
Re  0.5000  0.3277  0.4533
Re  0.5000  0.6723  0.9533
N  0.5000  0.4145  0.1686
N  0.5000  0.5855  0.6686
O  0.0000  0.1829  0.6491
O  0.0000  0.8171  0.1491

SG: Pmc2_1
Distance to the lowest polymorph of the same formula in eV per atom: 0.3303

=====

4.
Compound: HoReNO
Source: OQMD via LeMat-Bulk
Functional: PBE
Structure: relaxed

Unit cell a=6.2366 b=7.3602 c=4.8002 alpha=90.00 beta=90.00 gamma=90.00
Sites, in units of the cell vectors:
Ho  0.0653  0.1503  0.0000
Ho  0.4347  0.1503  0.5000
Ho  0.5653  0.8497  0.0000
Ho  0.9347  0.8497  0.5000
Re  0.1498  0.6674  0.9969
Re  0.3502  0.6674  0.4969
Re  0.6498  0.3326  0.9969
Re  0.8502  0.3326  0.4969
N  0.0661  0.1472  0.5009
N  0.4339  0.1472  0.0009
N  0.5661  0.8528  0.5009
N  0.9339  0.8528  0.0009
O  0.0231  0.5565  0.6147
O  0.4769  0.5565  0.1147
O  0.5231  0.4435  0.6147
O  0.9769  0.4435  0.1147

SG: Pca2_1
Distance to the lowest polymorph of the same formula in eV per atom: 0.2797

=====

5.
Compound: HoReNO
Source: OQMD via LeMat-Bulk
Functional: PBE
Structure: relaxed

Unit cell a=3.7836 b=3.7836 c=7.6929 alpha=90.00 beta=90.00 gamma=90.00
Sites, in units of the cell vectors:
Ho  0.2500  0.2500  0.1454
Ho  0.7500  0.7500  0.8546
Re  0.2500  0.7500  0.5000
Re  0.7500  0.2500  0.5000
N  0.2500  0.2500  0.6302
N  0.7500  0.7500  0.3698
O  0.2500  0.7500  0.0000
O  0.7500  0.2500  0.0000

SG: P4/nmm
Distance to the lowest polymorph of the same formula in eV per atom: 0.0000

=====

6.
Compound: HoReNO
Source: OQMD via LeMat-Bulk
Functional: PBE
Structure: relaxed

Unit cell a=3.8422 b=5.2927 c=4.9323 alpha=90.00 beta=90.00 gamma=90.00
Sites, in units of the cell vectors:
Ho  0.0000  0.2148  0.0000
Ho  0.0000  0.7852  0.5000
Re  0.5000  0.3358  0.4948
Re  0.5000  0.6642  0.9948
N  0.0000  0.3254  0.4935
N  0.0000  0.6746  0.9935
O  0.5000  0.0276  0.7952
O  0.5000  0.9724  0.2952

SG: Pmc2_1
Distance to the lowest polymorph of the same formula in eV per atom: 0.0822

=====

Going through the records in order, we get final energy values of -33.31; -66.62; -68.61; -138.03; -71.25; -70.59 eV/cell.